! Cr2GaO (GGA+U, relaxed); values from VASP
! - Uncorrected energy: -5.535 eV/atom
! - Space-group type: Fm-3m, No. 225
! - DOS at the Fermi energy: 1.1 states/eV per cell
! - Mass density: 5.19 Mg/m³
&SYSTEM
  ibrav = 0, nat = 4, ntyp = 3
/
ATOMIC_SPECIES
Cr 52.00 Cr.upf
Ga 69.72 Ga.upf
O 16.00 O.upf
ATOMIC_POSITIONS crystal
Cr 0.7500 0.7500 0.7500
Cr 0.2500 0.2500 0.2500
Ga 0.5000 0.5000 0.5000
O 0.0000 0.0000 0.0000
CELL_PARAMETERS angstrom
0.0768 1.9242 3.9675
-2.9463 3.1284 0.9909
-3.2023 -0.8310 2.9161